Record 1
DFT (PBE) results for a relaxed structure of Rb2DyI5.

Cell lengths 9.0510, 9.0518, 8.3184 Å; angles 122.97, 122.97, 89.99 degrees
With the nearest neighbours (Å) after each atom.
Sites, in units of the cell vectors:
I1 0.7098 0.7098 0.4194  1 Dy 2.82
I2 0.2549 0.7937 0.0486  1 Dy 3.00
I3 0.7936 0.7936 0.0484  1 Dy 3.00
I4 0.7937 0.2549 0.0486  1 Dy 3.00
I5 0.2550 0.2550 0.0490  1 Dy 3.00
Rb1 0.2473 0.7473 0.4946  8 I 3.99-4.36
Rb2 0.7473 0.2473 0.4946  8 I 3.99-4.36
Dy1 0.9753 0.9753 0.9506  5 I 2.82-3.00

Computed properties:
M_tot ... 0.00 μB per cell
DOS at the Fermi energy ... 0.000 states/eV/atom
Distance to the lowest polymorph of the same formula ... 51 meV/atom

---

Record 2
DFT (PBE) results for a relaxed structure of Rb6Dy3I14.

Cell lengths 7.7894, 13.2271, 13.2271 Å; angles 120.00, 90.00, 90.00 degrees
With the nearest neighbours (Å) after each atom.
Sites, in units of the cell vectors:
Rb1 0.7698 0.5306 0.5560  7 I 3.68-4.02
Rb2 0.7698 0.4440 0.9745  7 I 3.68-4.02
Rb3 0.2559 0.8979 0.7011  7 I 3.71-3.99
Rb4 0.7698 0.0255 0.4694  7 I 3.68-4.02
Rb5 0.2559 0.2989 0.1968  7 I 3.71-3.99
Rb6 0.2559 0.8032 0.1021  7 I 3.71-3.99
I1 0.9784 0.1499 0.9168  1 Dy 2.93
I2 0.6849 0.7504 0.1976  1 Dy 3.08
I3 0.4902 0.5666 0.8108  1 Dy 2.91
I4 0.9784 0.7669 0.8501  1 Dy 2.93
I5 0.4583 0.0000 0.0000  1 Dy 2.93
I6 0.6849 0.8024 0.5528  1 Dy 3.08
I7 0.6849 0.4472 0.2496  1 Dy 3.08
I8 0.2433 0.8879 0.4160  1 Dy 3.07
I9 0.2433 0.5840 0.4718  1 Dy 3.07
I10 0.9721 0.3333 0.6667  1 Dy 2.93
I11 0.4902 0.2442 0.4334  1 Dy 2.91
I12 0.4902 0.1892 0.7558  1 Dy 2.91
I13 0.9784 0.0832 0.2331  1 Dy 2.93
I14 0.2433 0.5282 0.1121  1 Dy 3.07
Dy1 0.4612 0.6667 0.3333  6 I 3.07-3.08
Dy2 0.3486 0.3333 0.6667  4 I 2.91-2.93
Dy3 0.8348 0.0000 0.0000  4 I 2.93

Computed properties:
M_tot ... 1.21 μB per cell
DOS at the Fermi energy ... 0.448 states/eV/atom

---

Record 3
DFT (PBE) results for a relaxed structure of RbDy2I7.

Cell lengths 6.0327, 9.2670, 9.2670 Å; angles 116.35, 90.00, 90.00 degrees
With the nearest neighbours (Å) after each atom.
Sites, in units of the cell vectors:
I1 0.5000 0.9518 0.6727  2 Dy 3.15-3.19
I2 0.5000 0.3273 0.0482  2 Dy 3.15-3.19
I3 0.0000 0.2984 0.7016  2 Dy 3.02
I4 0.5000 0.0482 0.3273  2 Dy 3.15-3.19
I5 0.5000 0.6727 0.9518  2 Dy 3.15-3.19
I6 0.0000 0.7016 0.2984  2 Dy 3.02
I7 0.5000 0.5000 0.5000  2 Dy 3.12
Rb1 0.0000 0.0000 0.0000  8 I 4.16
Dy1 0.5000 0.6980 0.3020  7 I 3.02-3.19
Dy2 0.5000 0.3020 0.6980  7 I 3.02-3.19

Computed properties:
M_tot ... 0.00 μB per cell
DOS at the Fermi energy ... 0.000 states/eV/atom

---

Record 4
DFT (PBE) results for a relaxed structure of Rb2DyI5.

Cell lengths 9.5732, 9.9120, 14.8217 Å; angles 90.00, 90.00, 90.00 degrees
With the nearest neighbours (Å) after each atom.
Sites, in units of the cell vectors:
I1 0.9062 0.7500 0.4865  1 Dy 3.17
I2 0.5854 0.2500 0.6863  1 Dy 3.08
I3 0.0938 0.2500 0.5135  1 Dy 3.17
I4 0.3318 0.5489 0.5575  2 Dy 3.19-3.21
I5 0.3645 0.2500 0.3033  1 Dy 3.06
I6 0.8318 0.4511 0.9425  2 Dy 3.19-3.21
I7 0.9146 0.2500 0.1863  1 Dy 3.08
I8 0.1682 0.9511 0.0575  2 Dy 3.19-3.21
I9 0.6355 0.7500 0.6967  1 Dy 3.06
I10 0.8645 0.7500 0.1967  1 Dy 3.06
I11 0.3318 0.9511 0.5575  2 Dy 3.19-3.21
I12 0.1355 0.2500 0.8033  1 Dy 3.06
I13 0.5938 0.7500 0.9865  1 Dy 3.17
I14 0.8318 0.0489 0.9425  2 Dy 3.19-3.21
I15 0.6682 0.0489 0.4425  2 Dy 3.19-3.21
I16 0.6682 0.4511 0.4425  2 Dy 3.19-3.21
I17 0.4062 0.2500 0.0135  1 Dy 3.17
I18 0.0854 0.7500 0.8137  1 Dy 3.08
I19 0.4146 0.7500 0.3137  1 Dy 3.08
I20 0.1682 0.5489 0.0575  2 Dy 3.19-3.21
Rb1 0.4097 0.9889 0.8308  8 I 3.71-4.14
Rb2 0.0903 0.9889 0.3308  8 I 3.71-4.14
Rb3 0.0903 0.5111 0.3308  8 I 3.71-4.14
Rb4 0.4097 0.5111 0.8308  8 I 3.71-4.14
Rb5 0.9097 0.0111 0.6692  8 I 3.71-4.14
Rb6 0.5903 0.4889 0.1692  8 I 3.71-4.14
Rb7 0.9097 0.4889 0.6692  8 I 3.71-4.14
Rb8 0.5903 0.0111 0.1692  8 I 3.71-4.14
Dy1 0.9248 0.7500 0.9940  7 I 3.06-3.21
Dy2 0.4248 0.2500 0.5060  7 I 3.06-3.21
Dy3 0.5752 0.7500 0.4940  7 I 3.06-3.21
Dy4 0.0752 0.2500 0.0060  7 I 3.06-3.21

Computed properties:
M_tot ... 0.00 μB per cell
DOS at the Fermi energy ... 0.000 states/eV/atom
Distance to the lowest polymorph of the same formula ... 0 meV/atom

---

Record 5
DFT (PBE) results for a relaxed structure of Rb3Dy2I9.

Cell lengths 11.1234, 11.1234, 11.1233 Å; angles 83.29, 83.29, 83.29 degrees
With the nearest neighbours (Å) after each atom.
Sites, in units of the cell vectors:
I1 0.0907 0.2500 0.4093  2 Dy 3.14
I2 0.7712 0.4194 0.5757  1 Dy 2.95
I3 0.2712 0.0757 0.9194  1 Dy 2.95
I4 0.2288 0.5806 0.4243  1 Dy 2.95
I5 0.9194 0.2712 0.0757  1 Dy 2.95
I6 0.9243 0.0806 0.7288  1 Dy 2.95
I7 0.4093 0.0907 0.2500  2 Dy 3.14
I8 0.0757 0.9194 0.2712  1 Dy 2.95
I9 0.5806 0.4243 0.2288  1 Dy 2.95
I10 0.4243 0.2288 0.5806  1 Dy 2.95
I11 0.2500 0.4093 0.0907  2 Dy 3.14
I12 0.7288 0.9243 0.0806  1 Dy 2.95
I13 0.9093 0.7500 0.5907  2 Dy 3.14
I14 0.4194 0.5757 0.7712  1 Dy 2.95
I15 0.5907 0.9093 0.7500  2 Dy 3.14
I16 0.0806 0.7288 0.9243  1 Dy 2.95
I17 0.5757 0.7712 0.4194  1 Dy 2.95
I18 0.7500 0.5907 0.9093  2 Dy 3.14
Rb1 0.4316 0.7500 0.0684  10 I 4.05-4.47
Rb2 0.5684 0.2500 0.9316  10 I 4.05-4.47
Rb3 0.0684 0.4316 0.7500  10 I 4.05-4.47
Rb4 0.2500 0.9316 0.5684  10 I 4.05-4.47
Rb5 0.7500 0.0684 0.4316  10 I 4.05-4.47
Rb6 0.9316 0.5684 0.2500  10 I 4.05-4.47
Dy1 0.1532 0.1532 0.1532  6 I 2.95-3.14
Dy2 0.6532 0.6532 0.6532  6 I 2.95-3.14
Dy3 0.8468 0.8468 0.8468  6 I 2.95-3.14
Dy4 0.3468 0.3468 0.3468  6 I 2.95-3.14

Computed properties:
M_tot ... 0.00 μB per cell
DOS at the Fermi energy ... 0.000 states/eV/atom

---

Record 6
DFT (PBE) results for a relaxed structure of RbDyI4.

Cell lengths 7.8658, 10.5788, 10.5788 Å; angles 117.53, 99.29, 99.29 degrees
With the nearest neighbours (Å) after each atom.
Sites, in units of the cell vectors:
I1 0.7046 0.0025 0.8623  1 Dy 2.97
I2 0.2046 0.3623 0.5025  1 Dy 2.97
I3 0.8530 0.8962 0.2815  2 Dy 3.08-3.11
I4 0.3530 0.7815 0.3962  2 Dy 3.08-3.11
I5 0.7954 0.6377 0.4975  1 Dy 2.97
I6 0.6470 0.2185 0.6038  2 Dy 3.08-3.11
I7 0.2954 0.9975 0.1377  1 Dy 2.97
I8 0.1470 0.1038 0.7185  2 Dy 3.08-3.11
Dy1 0.7500 0.9339 0.5661  6 I 2.97-3.11
Dy2 0.2500 0.0661 0.4339  6 I 2.97-3.11
Rb1 0.2500 0.7627 0.7373  6 I 3.66-3.91
Rb2 0.7500 0.2373 0.2627  6 I 3.66-3.91

Computed properties:
M_tot ... 0.00 μB per cell
DOS at the Fermi energy ... 0.000 states/eV/atom
Distance to the lowest polymorph of the same formula ... 0 meV/atom

---

Record 7
DFT (PBE) results for a relaxed structure of Rb2DyI6.

Cell lengths 4.0973, 9.6569, 11.0225 Å; angles 115.98, 90.00, 90.00 degrees
With the nearest neighbours (Å) after each atom.
Sites, in units of the cell vectors:
I1 0.5000 0.6196 0.0000  1 Dy 3.34
I2 0.5000 0.4285 0.4399  4 Rb 3.72-3.78, 2 I 4.10
I3 0.0000 0.0003 0.2201  2 Dy 3.08
I4 0.0000 0.2143 0.0000  2 Dy 3.16
I5 0.0000 0.7802 0.7799  2 Dy 3.08
I6 0.5000 0.9886 0.5601  4 Rb 3.72-3.78, 2 I 4.10
Dy1 0.5000 0.9651 0.0000  7 I 3.08-3.34
Rb1 0.0000 0.6575 0.3115  8 I 3.72-4.15, 2 Rb 4.10
Rb2 0.0000 0.3460 0.6885  8 I 3.72-4.15, 2 Rb 4.10

Computed properties:
M_tot ... 0.00 μB per cell
DOS at the Fermi energy ... 1.099 states/eV/atom

---

Record 8
DFT (PBE) results for a relaxed structure of RbDySnI6.

Cell lengths 8.1004, 8.1004, 8.0677 Å; angles 90.02, 89.98, 59.97 degrees
With the nearest neighbours (Å) after each atom.
Sites, in units of the cell vectors:
I1 0.6227 0.3628 0.7210  1 Dy 3.05, 1 Sn 3.20
I2 0.0142 0.6230 0.7209  1 Dy 3.05, 1 Sn 3.20
I3 0.6230 0.0143 0.2791  1 Dy 3.05, 1 Sn 3.20
I4 0.3627 0.6228 0.2790  1 Dy 3.05, 1 Sn 3.20
I5 0.0147 0.3625 0.2790  1 Dy 3.05, 1 Sn 3.20
I6 0.3625 0.0147 0.7210  1 Dy 3.05, 1 Sn 3.20
Rb1 0.0000 0.0000 0.0000  6 I 3.75
Sn1 0.6666 0.6666 0.5000  6 I 3.20
Dy1 0.3333 0.3334 0.5000  6 I 3.05

Computed properties:
M_tot ... 0.00 μB per cell
DOS at the Fermi energy ... 0.000 states/eV/atom

---

Record 9
DFT (PBE) results for a relaxed structure of Dy4ReI5.

Cell lengths 3.9913, 9.4724, 9.9658 Å; angles 103.32, 101.55, 90.00 degrees
With the nearest neighbours (Å) after each atom.
Sites, in units of the cell vectors:
I1 0.1716 0.8399 0.3431  3 Dy 3.14-3.27
I2 0.5000 0.5000 0.0000  4 Dy 3.31
I3 0.8327 0.6709 0.6654  3 Dy 3.12-3.18
I4 0.1673 0.3291 0.3346  3 Dy 3.12-3.18
I5 0.8284 0.1601 0.6569  3 Dy 3.14-3.27
Dy1 0.0002 0.2219 0.0004  2 Re 2.90, 1 I 3.18
Dy2 0.6361 0.0692 0.2722  1 Re 2.58
Dy3 0.9998 0.7781 0.9996  2 Re 2.90, 1 I 3.18
Dy4 0.3639 0.9308 0.7278  1 Re 2.58
Re1 0.5000 0.0000 0.0000  2 Dy 2.58

Computed properties:
M_tot ... 0.00 μB per cell
DOS at the Fermi energy ... 0.439 states/eV/atom

---

Record 10
DFT (PBE) results for a relaxed structure of DyRhI.

Cell lengths 4.0984, 3.8469, 11.9039 Å; angles 99.32, 114.07, 89.99 degrees
With the nearest neighbours (Å) after each atom.
Sites, in units of the cell vectors:
Rh1 0.7183 0.3681 0.8010  2 Rh 2.66-2.80, 1 I 2.75, 4 Dy 2.84-2.93
Rh2 0.9948 0.2834 0.6323  2 Rh 2.66-2.80, 1 I 2.75, 4 Dy 2.84-2.93
Dy1 0.4370 0.7523 0.5705  6 Rh 2.84-3.13
Dy2 0.2758 0.8987 0.8627  6 Rh 2.84-3.13
I1 0.8313 0.1567 0.3802  1 Rh 2.75
I2 0.8806 0.4932 0.0530  1 Rh 2.75

Computed properties:
M_tot ... 0.00 μB per cell
DOS at the Fermi energy ... 0.485 states/eV/atom

---

| no. | formation energy from raw total energies (meV/atom) | DFT total energy (eV/atom) | volume (Å³ per atom) |
| --- | --- | --- | --- |
| 1 | -1393 | -3.179 | 54.40 |
| 2 | -1364 | -3.160 | 51.31 |
| 3 | -1337 | -3.439 | 46.43 |
| 4 | -1443 | -3.229 | 43.95 |
| 5 | -1433 | -3.294 | 48.22 |
| 6 | -1431 | -3.393 | 61.82 |
| 7 | -1155 | -2.915 | 43.56 |
| 8 | -1134 | -3.231 | 50.93 |
| 9 | -896 | -4.757 | 35.88 |
| 10 | -916 | -5.417 | 28.11 |